MnTcAs3: optimized geometry, PBE.

a = 4.5932 Å, b = 4.5932 Å, c = 4.5932 Å
α = 90.00°, β = 90.00°, γ = 90.00°
Last column: nearest neighbours and their distance in Å.
Positions (direct):
As: 0.0000 0.5000 0.0000  2 Mn 2.30
As: 0.0000 0.0000 0.5000  2 Mn 2.30
As: 0.5000 0.0000 0.0000  2 Mn 2.30
Mn: 0.0000 0.0000 0.0000  6 As 2.30
Tc: 0.5000 0.5000 0.5000  12 As 3.25

Results
Final energy = -29.16 eV per cell
Energy relative to the elements = 0.8649 eV per atom
SG = No. 221
Crystal system = cubic
Excess energy over the best structure of this formula in the dataset = 0.000 eV/atom